Entry 1:
Entry from Alexandria via LeMat-Bulk: Pm4NdIn5 after structural relaxation (PBE).

Properties
**VASP energy**: -4.243 eV/atom
**Energy relative to the elements**: -0.497 eV/atom

Cell lengths 3.8603, 3.8603, 19.2144 Å; angles 90.00, 90.00, 90.00 degrees
With the nearest neighbours (Å) after each atom.
Sites, in units of the cell vectors:
1 In 0.5000 0.5000 0.8984  4 Pm 3.33, 4 Nd 3.36
2 Pm 0.0000 0.0000 0.7989  8 In 3.33
3 Pm 0.0000 0.0000 0.5997  8 In 3.33
4 Nd 0.0000 0.0000 0.0000  8 In 3.36
5 In 0.5000 0.5000 0.1016  4 Pm 3.33, 4 Nd 3.36
6 Pm 0.0000 0.0000 0.4003  8 In 3.33
7 In 0.5000 0.5000 0.5000  8 Pm 3.33
8 Pm 0.0000 0.0000 0.2011  8 In 3.33
9 In 0.5000 0.5000 0.3007  8 Pm 3.33
10 In 0.5000 0.5000 0.6993  8 Pm 3.33

=====

Entry 2:
Entry from Alexandria via LeMat-Bulk: PmNdIn2 after structural relaxation (PBE).

Properties
**VASP energy**: -4.245 eV/atom
**Energy relative to the elements**: -0.496 eV/atom

Cell lengths 5.4613, 5.4610, 5.4609 Å; angles 60.00, 60.00, 60.00 degrees
With the nearest neighbours (Å) after each atom.
Sites, in units of the cell vectors:
1 Nd 0.7500 0.7500 0.7500  8 In 3.34
2 In 0.0000 0.0000 0.0000  4 Nd 3.34, 4 Pm 3.34
3 Pm 0.2500 0.2500 0.2500  8 In 3.34
4 In 0.5000 0.5000 0.5000  4 Pm 3.34, 4 Nd 3.34

=====

Entry 3:
Entry from Alexandria via LeMat-Bulk: Pm2Nd9In after structural relaxation (PBE).

Properties
**VASP energy**: -4.665 eV/atom
**Energy relative to the elements**: -0.069 eV/atom

Cell lengths 5.0895, 5.0895, 15.6138 Å; angles 90.00, 90.00, 90.00 degrees
With the nearest neighbours (Å) after each atom.
Sites, in units of the cell vectors:
1 Nd 0.0000 0.5000 0.1600  8 Nd 3.57-3.67, 2 In 3.57, 2 Pm 3.68
2 Nd 0.5000 0.0000 0.5000  8 Nd 3.60-3.68, 4 Pm 3.67
3 Pm 0.0000 0.0000 0.3303  12 Nd 3.60-3.68
4 Nd 0.5000 0.0000 0.1600  2 In 3.57, 8 Nd 3.57-3.67, 2 Pm 3.68
5 Nd 0.0000 0.5000 0.8400  8 Nd 3.57-3.67, 2 In 3.57, 2 Pm 3.68
6 Nd 0.5000 0.5000 0.6707  4 Pm 3.60, 8 Nd 3.67-3.68
7 Nd 0.5000 0.0000 0.8400  2 In 3.57, 8 Nd 3.57-3.67, 2 Pm 3.68
8 Pm 0.0000 0.0000 0.6697  12 Nd 3.60-3.68
9 Nd 0.5000 0.5000 0.3293  4 Pm 3.60, 8 Nd 3.67-3.68
10 In 0.0000 0.0000 0.0000  12 Nd 3.57-3.60
11 Nd 0.0000 0.5000 0.5000  8 Nd 3.60-3.68, 4 Pm 3.67
12 Nd 0.5000 0.5000 0.0000  8 Nd 3.57, 4 In 3.60

=====

Entry 4:
Entry from Alexandria via LeMat-Bulk: Pm9Nd2In after structural relaxation (PBE).

Properties
**VASP energy**: -4.653 eV/atom
**Energy relative to the elements**: -0.068 eV/atom

Cell lengths 5.0646, 5.0646, 15.5355 Å; angles 90.00, 90.00, 90.00 degrees
With the nearest neighbours (Å) after each atom.
Sites, in units of the cell vectors:
1 Pm 0.5000 0.5000 0.6712  4 Nd 3.58, 8 Pm 3.65-3.67
2 Nd 0.0000 0.0000 0.6701  12 Pm 3.58-3.67
3 Pm 0.5000 0.5000 0.3288  4 Nd 3.58, 8 Pm 3.65-3.67
4 Pm 0.0000 0.5000 0.1594  2 In 3.54, 8 Pm 3.54-3.65, 2 Nd 3.67
5 In 0.0000 0.0000 0.0000  12 Pm 3.54-3.58
6 Pm 0.5000 0.5000 0.0000  8 Pm 3.54, 4 In 3.58
7 Pm 0.5000 0.0000 0.1594  2 In 3.54, 8 Pm 3.54-3.65, 2 Nd 3.67
8 Pm 0.5000 0.0000 0.8406  2 In 3.54, 8 Pm 3.54-3.65, 2 Nd 3.67
9 Nd 0.0000 0.0000 0.3299  12 Pm 3.58-3.67
10 Pm 0.0000 0.5000 0.8406  2 In 3.54, 8 Pm 3.54-3.65, 2 Nd 3.67
11 Pm 0.0000 0.5000 0.5000  8 Pm 3.58-3.67, 4 Nd 3.66
12 Pm 0.5000 0.0000 0.5000  8 Pm 3.58-3.67, 4 Nd 3.66

=====

Entry 5:
Entry from Alexandria via LeMat-Bulk: Pm7Nd2In2 after structural relaxation (PBE).

Properties
**VASP energy**: -4.440 eV/atom
**Energy relative to the elements**: -0.052 eV/atom

Cell lengths 3.6976, 11.4751, 11.4751 Å; angles 51.40, 80.73, 80.73 degrees
With the nearest neighbours (Å) after each atom.
Sites, in units of the cell vectors:
1 Pm 0.3725 0.7133 0.5418  2 In 3.14, 1 Nd 3.24
2 Pm 0.1423 0.1200 0.5954  2 In 3.29, 2 Nd 3.67
3 Pm 0.8577 0.4046 0.8800  2 In 3.29, 2 Nd 3.67
4 Pm 0.6275 0.4582 0.2867  2 In 3.14, 1 Nd 3.24
5 Pm 0.1631 0.7249 0.9490  3 In 3.25-3.45, 2 Pm 3.60, 1 Nd 3.61
6 In 0.2523 0.3414 0.1541  7 Pm 3.14-3.45
7 Nd 0.0000 0.7456 0.2544  8 Pm 3.56-3.62, 4 Nd 3.70-3.98
8 In 0.7477 0.8459 0.6586  7 Pm 3.14-3.45
9 Pm 0.8369 0.0510 0.2751  3 In 3.25-3.45, 2 Pm 3.60, 1 Nd 3.61
10 Nd 0.5000 0.3912 0.6088  3 Pm 3.24-3.32
11 Pm 0.5000 0.0577 0.9423  3 Nd 3.32-3.62, 2 Pm 3.70

=====

Entry 6:
Entry from Alexandria via LeMat-Bulk: Pm3Nd6In after structural relaxation (PBE).

Properties
**VASP energy**: -4.568 eV/atom
**Energy above the lowest structure with this stoichiometry**: 0.0300 eV per atom
**Energy relative to the elements**: -0.008 eV/atom

Cell lengths 3.6548, 12.5602, 15.0202 Å; angles 94.21, 90.00, 90.00 degrees
With the nearest neighbours (Å) after each atom.
Sites, in units of the cell vectors:
1 Nd 0.2500 0.6953 0.2458  2 In 3.38, 3 Pm 3.60-3.75, 2 Nd 3.65
2 Nd 0.2500 0.5591 0.8949  3 In 3.30-3.38, 2 Nd 3.65, 2 Pm 3.69
3 Nd 0.2500 0.2079 0.1832  1 Pm 3.30, 6 Nd 3.41-3.65
4 Nd 0.7500 0.1116 0.0036  2 In 3.24, 4 Nd 3.34-3.41, 2 Pm 3.55
5 Nd 0.7500 0.4409 0.1051  3 In 3.30-3.38, 2 Nd 3.65, 2 Pm 3.69
6 Nd 0.2500 0.8884 0.9964  2 In 3.24, 4 Nd 3.34-3.41, 2 Pm 3.55
7 Pm 0.7500 0.5722 0.6828  7 Nd 3.30-3.69, 2 Pm 3.65
8 Nd 0.7500 0.6203 0.4563  4 Pm 3.50-3.58, 8 Nd 3.65-3.84
9 Pm 0.2500 0.0544 0.8031  3 Pm 3.42-3.65, 7 Nd 3.55-3.79, 1 In 3.68
10 Nd 0.2500 0.3797 0.5437  4 Pm 3.50-3.58, 8 Nd 3.65-3.84
11 Pm 0.7500 0.9456 0.1969  3 Pm 3.42-3.65, 7 Nd 3.55-3.79, 1 In 3.68
12 Nd 0.7500 0.7921 0.8168  1 Pm 3.30, 6 Nd 3.41-3.65
13 Nd 0.7500 0.1885 0.3893  6 Nd 3.62-3.70, 6 Pm 3.65-4.04
14 Pm 0.2500 0.1020 0.5819  3 Pm 3.42-3.65, 4 Nd 3.58-3.71
15 Pm 0.2500 0.4278 0.3172  7 Nd 3.30-3.69, 2 Pm 3.65
16 Nd 0.7500 0.3047 0.7542  2 In 3.38, 3 Pm 3.60-3.75, 2 Nd 3.65
17 Nd 0.2500 0.8115 0.6107  6 Nd 3.62-3.70, 6 Pm 3.65-4.04
18 In 0.2500 0.3072 0.9435  7 Nd 3.24-3.38
19 Pm 0.7500 0.8980 0.4181  3 Pm 3.42-3.65, 4 Nd 3.58-3.71
20 In 0.7500 0.6928 0.0565  7 Nd 3.24-3.38

=====

Number 1: size of the total moment 0.0 μB/f.u.. Number 2: size of the total moment 0.0 μB/f.u.. Number 3: size of the total moment 0.0 μB/f.u.. Number 4: size of the total moment 0.0 μB/f.u.. Number 5: size of the total moment 0.0 μB/f.u.. Number 6: size of the total moment 0.0 μB/f.u..